Here is a relaxed structure of RbTbTe3Pb from the Alexandria database. Energies are from GGA-PBE.

**Symmetry**: P2_1/m (11)
**ρ**: 5.573 g cm⁻³
**Formation energy (no corrections)**: -1.003 eV per atom
**DFT total energy**: -4.12 eV/atom

CIF file:
```
data_RbTbTe3Pb
_chemical_formula_sum 'Rb2 Tb2 Te6 Pb2'
_space_group_name_H-M_alt 'P 1'
_space_group_IT_number 1
_cell_length_a 9.584
_cell_length_b 4.510
_cell_length_c 12.127
_cell_angle_alpha 90.00
_cell_angle_beta 108.48
_cell_angle_gamma 90.00
loop_
_space_group_symop_operation_xyz
'x,y,z'
loop_
_atom_site_label
_atom_site_type_symbol
_atom_site_fract_x
_atom_site_fract_y
_atom_site_fract_z
Rb1 Rb 0.215 0.250 0.254
Rb2 Rb 0.785 0.750 0.746
Tb1 Tb 0.366 0.750 0.848
Tb2 Tb 0.634 0.250 0.152
Te1 Te 0.123 0.250 0.802
Te2 Te 0.362 0.750 0.585
Te3 Te 0.402 0.750 0.108
Te4 Te 0.598 0.250 0.892
Te5 Te 0.638 0.250 0.415
Te6 Te 0.877 0.750 0.198
Pb1 Pb 0.142 0.250 0.562
Pb2 Pb 0.858 0.750 0.438
```

Here is a relaxed structure of RbTc4Pb2 from the Alexandria database. Energies are from GGA-PBE.

**ΔE_f**: 1670 kJ/mol of formula units
**Symmetry**: I4/mmm (139)
**ρ**: 8.938 g cm⁻³
**DFT total energy**: -4.65 eV/atom

CIF file:
```
data_RbTc4Pb2
_chemical_formula_sum 'Rb1 Tc4 Pb2'
_space_group_name_H-M_alt 'P 1'
_space_group_IT_number 1
_cell_length_a 7.988
_cell_length_b 7.988
_cell_length_c 7.988
_cell_angle_alpha 145.14
_cell_angle_beta 145.14
_cell_angle_gamma 50.12
loop_
_space_group_symop_operation_xyz
'x,y,z'
loop_
_atom_site_label
_atom_site_type_symbol
_atom_site_fract_x
_atom_site_fract_y
_atom_site_fract_z
Rb1 Rb 0.000 0.000 0.000
Tc1 Tc 0.000 0.500 0.500
Tc2 Tc 0.183 0.183 0.000
Tc3 Tc 0.500 0.000 0.500
Tc4 Tc 0.817 0.817 0.000
Pb1 Pb 0.371 0.371 0.000
Pb2 Pb 0.629 0.629 0.000
```

Here is a relaxed structure of RbTc3Pb from the Alexandria database. Energies are from GGA-PBE.

**ΔE_f**: 1457 kJ/mol of formula units
**Symmetry**: Pm-3m (221)
**ρ**: 8.272 g cm⁻³
**Energy above the most stable polymorph in this dataset**: 0.777 eV/atom
**DFT total energy**: -4.13 eV/atom

CIF file:
```
data_RbTc3Pb
_chemical_formula_sum 'Rb1 Tc3 Pb1'
_space_group_name_H-M_alt 'P 1'
_space_group_IT_number 1
_cell_length_a 4.902
_cell_length_b 4.902
_cell_length_c 4.902
_cell_angle_alpha 90.00
_cell_angle_beta 90.00
_cell_angle_gamma 90.00
loop_
_space_group_symop_operation_xyz
'x,y,z'
loop_
_atom_site_label
_atom_site_type_symbol
_atom_site_fract_x
_atom_site_fract_y
_atom_site_fract_z
Rb1 Rb 0.000 0.000 0.000
Tc1 Tc 0.000 0.000 0.500
Tc2 Tc 0.000 0.500 0.000
Tc3 Tc 0.500 0.000 0.000
Pb1 Pb 0.500 0.500 0.500
```

Here is a relaxed structure of Rb3TcPb from the Alexandria database. Energies are from GGA-PBE.

**ΔE_f**: 597 kJ/mol of formula units
**Symmetry**: Pm-3m (221)
**ρ**: 2.598 g cm⁻³
**Energy above the most stable polymorph in this dataset**: 0.000 eV/atom
**DFT total energy**: -2.16 eV/atom

CIF file:
```
data_Rb3TcPb
_chemical_formula_sum 'Rb3 Tc1 Pb1'
_space_group_name_H-M_alt 'P 1'
_space_group_IT_number 1
_cell_length_a 7.106
_cell_length_b 7.106
_cell_length_c 7.106
_cell_angle_alpha 90.00
_cell_angle_beta 90.00
_cell_angle_gamma 90.00
loop_
_space_group_symop_operation_xyz
'x,y,z'
loop_
_atom_site_label
_atom_site_type_symbol
_atom_site_fract_x
_atom_site_fract_y
_atom_site_fract_z
Rb1 Rb 0.000 0.000 0.500
Rb2 Rb 0.000 0.500 0.000
Rb3 Rb 0.500 0.000 0.000
Tc1 Tc 0.500 0.500 0.500
Pb1 Pb 0.000 0.000 0.000
```

Here is a relaxed structure of RbTc3Pb from the Alexandria database. Energies are from GGA-PBE.

**ΔE_f**: 1082 kJ/mol of formula units
**Symmetry**: Pm-3m (221)
**ρ**: 6.592 g cm⁻³
**Energy above the most stable polymorph in this dataset**: 0.000 eV/atom
**DFT total energy**: -4.91 eV/atom

CIF file:
```
data_RbTc3Pb
_chemical_formula_sum 'Rb1 Tc3 Pb1'
_space_group_name_H-M_alt 'P 1'
_space_group_IT_number 1
_cell_length_a 5.287
_cell_length_b 5.287
_cell_length_c 5.287
_cell_angle_alpha 90.00
_cell_angle_beta 90.00
_cell_angle_gamma 90.00
loop_
_space_group_symop_operation_xyz
'x,y,z'
loop_
_atom_site_label
_atom_site_type_symbol
_atom_site_fract_x
_atom_site_fract_y
_atom_site_fract_z
Rb1 Rb 0.000 0.000 0.000
Tc1 Tc 0.000 0.500 0.500
Tc2 Tc 0.500 0.000 0.500
Tc3 Tc 0.500 0.500 0.000
Pb1 Pb 0.500 0.500 0.500
```

Here is a relaxed structure of Rb2TcPb from the Alexandria database. Energies are from GGA-PBE.

**ΔE_f**: 338 kJ/mol of formula units
**Symmetry**: I-42d (122)
**ρ**: 3.347 g cm⁻³
**DFT total energy**: -3.13 eV/atom

CIF file:
```
data_Rb2TcPb
_chemical_formula_sum 'Rb4 Tc2 Pb2'
_space_group_name_H-M_alt 'P 1'
_space_group_IT_number 1
_cell_length_a 9.786
_cell_length_b 9.786
_cell_length_c 9.786
_cell_angle_alpha 94.25
_cell_angle_beta 94.25
_cell_angle_gamma 148.40
loop_
_space_group_symop_operation_xyz
'x,y,z'
loop_
_atom_site_label
_atom_site_type_symbol
_atom_site_fract_x
_atom_site_fract_y
_atom_site_fract_z
Rb1 Rb 0.375 0.056 0.181
Rb2 Rb 0.806 0.625 0.681
Rb3 Rb 0.875 0.194 0.819
Rb4 Rb 0.944 0.125 0.319
Tc1 Tc 0.000 0.000 0.000
Tc2 Tc 0.750 0.250 0.500
Pb1 Pb 0.250 0.750 0.500
Pb2 Pb 0.500 0.500 0.000
```

Here is a relaxed structure of Rb5Te5Pb2 from the Alexandria database. Energies are from GGA-PBE.

**Symmetry**: C2/m (12)
**ρ**: 4.383 g cm⁻³
**Formation energy (no corrections)**: -0.764 eV per atom
**DFT total energy**: -3.09 eV/atom

CIF file:
```
data_Rb5Te5Pb2
_chemical_formula_sum 'Rb5 Te5 Pb2'
_space_group_name_H-M_alt 'P 1'
_space_group_IT_number 1
_cell_length_a 8.608
_cell_length_b 8.608
_cell_length_c 13.962
_cell_angle_alpha 107.27
_cell_angle_beta 107.27
_cell_angle_gamma 34.76
loop_
_space_group_symop_operation_xyz
'x,y,z'
loop_
_atom_site_label
_atom_site_type_symbol
_atom_site_fract_x
_atom_site_fract_y
_atom_site_fract_z
Rb1 Rb 0.000 0.000 0.000
Rb2 Rb 0.163 0.163 0.561
Rb3 Rb 0.254 0.254 0.861
Rb4 Rb 0.746 0.746 0.139
Rb5 Rb 0.837 0.837 0.439
Te1 Te 0.155 0.155 0.291
Te2 Te 0.396 0.396 0.117
Te3 Te 0.500 0.500 0.500
Te4 Te 0.604 0.604 0.883
Te5 Te 0.845 0.845 0.709
Pb1 Pb 0.454 0.454 0.701
Pb2 Pb 0.546 0.546 0.299
```

Here is a relaxed structure of Rb2Te2Pb from the Alexandria database. Energies are from GGA-PBE.

**Symmetry**: Ibam (72)
**ρ**: 4.362 g cm⁻³
**Formation energy (no corrections)**: -0.770 eV per atom
**Energy above the most stable polymorph in this dataset**: 0.008 eV/atom
**DFT total energy**: -3.16 eV/atom

CIF file:
```
data_Rb2Te2Pb
_chemical_formula_sum 'Rb4 Te4 Pb2'
_space_group_name_H-M_alt 'P 1'
_space_group_IT_number 1
_cell_length_a 9.339
_cell_length_b 9.339
_cell_length_c 9.339
_cell_angle_alpha 125.61
_cell_angle_beta 75.80
_cell_angle_gamma 131.54
loop_
_space_group_symop_operation_xyz
'x,y,z'
loop_
_atom_site_label
_atom_site_type_symbol
_atom_site_fract_x
_atom_site_fract_y
_atom_site_fract_z
Rb1 Rb 0.142 0.156 0.298
Rb2 Rb 0.358 0.656 0.015
Rb3 Rb 0.642 0.344 0.985
Rb4 Rb 0.858 0.844 0.702
Te1 Te 0.112 0.724 0.836
Te2 Te 0.388 0.224 0.612
Te3 Te 0.612 0.776 0.388
Te4 Te 0.888 0.276 0.164
Pb1 Pb 0.250 0.750 0.500
Pb2 Pb 0.750 0.250 0.500
```